(1)
Fe2NiCl: optimized geometry, PBE.

Unit cell a=2.768 b=4.373 c=4.373 alpha=90.00 beta=90.00 gamma=90.00
Sites, in units of the cell vectors:
1 Cl 0.500 0.000 0.500
2 Fe 0.000 0.000 0.000
3 Fe 0.000 0.500 0.500
4 Ni 0.500 0.500 0.000

Summary:
As for the uncorrected formation energy: 1.93 eV/f.u. As for the space-group type: No. 123. The calculation puts the final energy at -5.655 eV/atom.

(2)
CaMoRh2: optimized geometry, PBE.

Unit cell a=5.246 b=5.246 c=5.246 alpha=136.45 beta=136.45 gamma=63.29
Sites, in units of the cell vectors:
1 Ca 0.500 0.500 0.000
2 Rh 0.000 0.000 0.000
3 Rh 0.250 0.750 0.500
4 Mo 0.750 0.250 0.500

Summary:
As for the space-group type: No. 119. For the formation energy, the calculation gives 0.223 eV/atom. The calculation puts the final energy at -6.661 eV/atom.

Per-record energy above the lowest structure with this stoichiometry, eV per atom: 0.3546, 0.3647